An optimized crystal structure of PrTmMg2. Source: Alexandria, functional GGA-PBE.

```
4
Lattice="5.3734 0.0000 0.0000 0.0000 5.3734 0.0000 0.0000 0.0000 3.8913" Properties=species:S:1:pos:R:3 pbc="T T T"
Pr 0.0000 0.0000 0.0000
Tm 2.6867 2.6867 0.0000
Mg 0.0000 2.6867 1.9456
Mg 2.6867 0.0000 1.9456
```

Calculated values
D(E_F), states/eV/f.u.: 4.0
Symmetry: P4/mmm, No. 123
E, eV/atom: -3.190
Energy of formation from the pure elements, eV/atom: -0.08

=====

An optimized crystal structure of CsCaNb. Source: Alexandria, functional GGA-PBE.

```
6
Lattice="6.1571 0.0000 0.0000 1.3614 6.0470 0.0000 1.5576 1.2322 7.8326" Properties=species:S:1:pos:R:3 pbc="T T T"
Cs 0.0000 0.0000 0.0000
Cs 4.9648 3.9716 6.6846
Ca 2.8900 2.1658 3.2830
Ca 7.4612 5.8727 3.8266
Nb 4.5331 4.8911 2.6103
Nb 5.8936 3.2307 2.6329
```

Calculated values
D(E_F), states/eV/f.u.: 2.2
Symmetry: P1, No. 1
E, eV/atom: -3.475
Energy of formation from the pure elements, eV/atom: 0.83

=====

An optimized crystal structure of Pm7Pr12Mg. Source: Alexandria, functional GGA-PBE.

```
20
Lattice="6.2139 3.5876 5.3208 -6.2139 3.5876 5.3208 0.0000 -7.1752 5.3208" Properties=species:S:1:pos:R:3 pbc="T T T"
Pm 0.0000 0.0000 0.0000
Pm -1.5038 -1.4011 4.7439
Pm -0.4615 2.0029 4.7439
Pm 1.9653 -0.6018 4.7439
Pm -1.9653 0.6018 11.2186
Pm 0.4615 -2.0029 11.2186
Pm 1.5038 1.4011 11.2186
Pr -2.2056 -5.0319 6.6596
Pr -5.4606 -0.6058 9.3030
Pr -3.2381 0.9321 7.1948
Pr -2.4263 -2.3382 8.7677
Pr -3.2549 4.4261 6.6596
Pr 0.8118 -3.2703 7.1948
Pr -0.8118 3.2703 8.7677
Pr 3.2549 -4.4261 9.3029
Pr 2.4263 2.3382 7.1948
Pr 3.2381 -0.9321 8.7677
Pr 5.4605 0.6058 6.6596
Pr 2.2056 5.0319 9.3030
Mg 0.0000 0.0000 7.9813
```

Calculated values
D(E_F), states/eV/f.u.: 34.7
Symmetry: R-3, No. 148
E, eV/atom: -4.429
Energy of formation from the pure elements, eV/atom: 0.18